(1)
# USnI (PBE, relaxed)
data_USnI
_chemical_formula_sum 'U2 Sn2 I2'
_space_group_name_H-M_alt 'P 1'
_space_group_IT_number 1
_space_group_name_Hall 'P 1'
_cell_length_a 6.1248
_cell_length_b 6.1248
_cell_length_c 11.3496
_cell_angle_alpha 108.15
_cell_angle_beta 108.15
_cell_angle_gamma 34.28
loop_
_atom_site_label
_atom_site_fract_x
_atom_site_fract_y
_atom_site_fract_z
U1 0.1977 0.1977 0.1317
U2 0.8023 0.8023 0.8683
Sn1 0.4613 0.4613 0.1115
Sn2 0.5387 0.5387 0.8885
I1 0.1782 0.1782 0.6436
I2 0.8218 0.8218 0.3564
# Space group = C2/m, No. 12
# Formation energy from raw total energies = -0.112 eV per atom
# DFT total energy = -0.210 Ha/atom
# Volume = 37.79 Å³/atom

(2)
# CdPt (PBE, relaxed)
data_CdPt
_chemical_formula_sum 'Cd2 Pt2'
_space_group_name_H-M_alt 'P 1'
_space_group_IT_number 1
_space_group_name_Hall 'P 1'
_cell_length_a 9.7480
_cell_length_b 9.7480
_cell_length_c 9.7480
_cell_angle_alpha 17.28
_cell_angle_beta 17.28
_cell_angle_gamma 17.28
loop_
_atom_site_label
_atom_site_fract_x
_atom_site_fract_y
_atom_site_fract_z
Cd1 0.1201 0.1201 0.1201
Cd2 0.8799 0.8799 0.8799
Pt1 0.3732 0.3732 0.3732
Pt2 0.6268 0.6268 0.6268
# Space group = R-3m, No. 166
# DFT total energy = -0.131 Ha/atom
# ΔH_f (0 K) = -88 meV per atom
# Volume = 17.83 Å³/atom

(3)
# FeCu4Hg (PBE, relaxed)
data_FeCu4Hg
_chemical_formula_sum 'Fe1 Cu4 Hg1'
_space_group_name_H-M_alt 'P 1'
_space_group_IT_number 1
_space_group_name_Hall 'P 1'
_cell_length_a 4.8926
_cell_length_b 4.8926
_cell_length_c 4.8926
_cell_angle_alpha 60.00
_cell_angle_beta 60.00
_cell_angle_gamma 60.00
loop_
_atom_site_label
_atom_site_fract_x
_atom_site_fract_y
_atom_site_fract_z
Fe1 0.0000 0.0000 0.0000
Cu1 0.3744 0.3744 0.3744
Cu2 0.3744 0.3744 0.8767
Cu3 0.3744 0.8767 0.3744
Cu4 0.8767 0.3744 0.3744
Hg1 0.7500 0.7500 0.7500
# Space group = F-43m, No. 216
# DFT total energy = -0.145 Ha/atom
# ΔH_f (0 K) = 257 meV per atom
# Volume = 13.80 Å³/atom

(4)
# Cs2NiHgP (PBE, relaxed)
data_Cs2NiHgP
_chemical_formula_sum 'Cs2 Ni1 Hg1 P1'
_space_group_name_H-M_alt 'P 1'
_space_group_IT_number 1
_space_group_name_Hall 'P 1'
_cell_length_a 6.8279
_cell_length_b 6.8279
_cell_length_c 4.1977
_cell_angle_alpha 90.00
_cell_angle_beta 90.00
_cell_angle_gamma 90.00
loop_
_atom_site_label
_atom_site_fract_x
_atom_site_fract_y
_atom_site_fract_z
Cs1 0.0000 0.5000 0.0000
Cs2 0.5000 0.0000 0.0000
Ni1 0.0000 0.0000 0.0000
Hg1 0.5000 0.5000 0.5000
P1 0.0000 0.0000 0.5000
# Space group = P4/mmm, No. 123
# DFT total energy = -0.103 Ha/atom
# ΔH_f (0 K) = -170 meV per atom
# Volume = 39.14 Å³/atom

(5)
# ReAs (PBE, relaxed)
data_ReAs
_chemical_formula_sum 'Re8 As8'
_space_group_name_H-M_alt 'P 1'
_space_group_IT_number 1
_space_group_name_Hall 'P 1'
_cell_length_a 6.2010
_cell_length_b 6.4780
_cell_length_c 6.6137
_cell_angle_alpha 90.00
_cell_angle_beta 90.00
_cell_angle_gamma 90.00
loop_
_atom_site_label
_atom_site_fract_x
_atom_site_fract_y
_atom_site_fract_z
Re1 0.0774 0.1961 0.0178
Re2 0.2281 0.4030 0.6839
Re3 0.2719 0.5970 0.1839
Re4 0.4226 0.8039 0.5178
Re5 0.5774 0.3039 0.9822
Re6 0.7281 0.0970 0.3161
Re7 0.7719 0.9030 0.8161
Re8 0.9226 0.6961 0.4822
As1 0.0472 0.3316 0.3682
As2 0.1312 0.0081 0.6783
As3 0.3688 0.9919 0.1783
As4 0.4528 0.6684 0.8682
As5 0.5472 0.1684 0.6318
As6 0.6312 0.4919 0.3217
As7 0.8688 0.5081 0.8217
As8 0.9528 0.8316 0.1318
# Space group = P2_12_12_1, No. 19
# DFT total energy = -0.305 Ha/atom
# ΔH_f (0 K) = 253 meV per atom
# Volume = 16.60 Å³/atom

(6)
# KNiI (PBE, relaxed)
data_KNiI
_chemical_formula_sum 'K1 Ni1 I1'
_space_group_name_H-M_alt 'P 1'
_space_group_IT_number 1
_space_group_name_Hall 'P 1'
_cell_length_a 4.8078
_cell_length_b 4.8078
_cell_length_c 4.8078
_cell_angle_alpha 60.00
_cell_angle_beta 60.00
_cell_angle_gamma 60.00
loop_
_atom_site_label
_atom_site_fract_x
_atom_site_fract_y
_atom_site_fract_z
K1 0.0000 0.0000 0.0000
Ni1 0.7500 0.7500 0.7500
I1 0.5000 0.5000 0.5000
# Space group = F-43m, No. 216
# Formation energy from raw total energies = 0.157 eV per atom
# DFT total energy = -0.097 Ha/atom
# Volume = 26.19 Å³/atom

(7)
# KSrBe2 (PBE, relaxed)
data_KSrBe2
_chemical_formula_sum 'K1 Sr1 Be2'
_space_group_name_H-M_alt 'P 1'
_space_group_IT_number 1
_space_group_name_Hall 'P 1'
_cell_length_a 5.4193
_cell_length_b 5.4193
_cell_length_c 5.4193
_cell_angle_alpha 60.00
_cell_angle_beta 60.00
_cell_angle_gamma 60.00
loop_
_atom_site_label
_atom_site_fract_x
_atom_site_fract_y
_atom_site_fract_z
K1 0.0000 0.0000 0.0000
Sr1 0.5000 0.5000 0.5000
Be1 0.2500 0.2500 0.2500
Be2 0.7500 0.7500 0.7500
# Space group = Fm-3m, No. 225
# DFT total energy = -0.060 Ha/atom
# ΔH_f (0 K) = 921 meV per atom
# Volume = 28.14 Å³/atom

(8)
# K2CeAlSe4 (PBE, relaxed)
data_K2CeAlSe4
_chemical_formula_sum 'K4 Ce2 Al2 Se8'
_space_group_name_H-M_alt 'P 1'
_space_group_IT_number 1
_space_group_name_Hall 'P 1'
_cell_length_a 8.6188
_cell_length_b 8.6188
_cell_length_c 8.6188
_cell_angle_alpha 122.15
_cell_angle_beta 118.22
_cell_angle_gamma 89.72
loop_
_atom_site_label
_atom_site_fract_x
_atom_site_fract_y
_atom_site_fract_z
K1 0.0000 0.0000 0.0000
K2 0.5000 0.0000 0.0000
K3 0.5000 0.0000 0.5000
K4 0.5000 0.5000 0.5000
Ce1 0.0000 0.5000 0.5000
Ce2 0.5000 0.5000 0.0000
Al1 0.0000 0.0000 0.5000
Al2 0.0000 0.5000 0.0000
Se1 0.1901 0.7424 0.4477
Se2 0.2053 0.2576 0.9477
Se3 0.2251 0.2442 0.5191
Se4 0.2251 0.7060 0.9809
Se5 0.7749 0.2940 0.0191
Se6 0.7749 0.7558 0.4809
Se7 0.7947 0.7424 0.0523
Se8 0.8099 0.2576 0.5523
# Space group = Imma, No. 74
# Formation energy from raw total energies = -1.242 eV per atom
# DFT total energy = -0.164 Ha/atom
# Volume = 28.17 Å³/atom

(9)
# BaLi4TlHg2 (PBE, relaxed)
data_BaLi4TlHg2
_chemical_formula_sum 'Ba1 Li4 Tl1 Hg2'
_space_group_name_H-M_alt 'P 1'
_space_group_IT_number 1
_space_group_name_Hall 'P 1'
_cell_length_a 10.3259
_cell_length_b 10.3259
_cell_length_c 10.3259
_cell_angle_alpha 26.69
_cell_angle_beta 26.69
_cell_angle_gamma 26.69
loop_
_atom_site_label
_atom_site_fract_x
_atom_site_fract_y
_atom_site_fract_z
Ba1 0.0000 0.0000 0.0000
Li1 0.1351 0.1351 0.1351
Li2 0.4111 0.4111 0.4111
Li3 0.5889 0.5889 0.5889
Li4 0.8649 0.8649 0.8649
Tl1 0.5000 0.5000 0.5000
Hg1 0.2458 0.2458 0.2458
Hg2 0.7542 0.7542 0.7542
# Space group = R-3m, No. 166
# DFT total energy = -0.068 Ha/atom
# ΔH_f (0 K) = -273 meV per atom
# Volume = 24.47 Å³/atom

(10)
# LuPuIn2 (PBE, relaxed)
data_LuPuIn2
_chemical_formula_sum 'Lu1 Pu1 In2'
_space_group_name_H-M_alt 'P 1'
_space_group_IT_number 1
_space_group_name_Hall 'P 1'
_cell_length_a 3.2842
_cell_length_b 3.2842
_cell_length_c 9.4159
_cell_angle_alpha 90.00
_cell_angle_beta 90.00
_cell_angle_gamma 90.00
loop_
_atom_site_label
_atom_site_fract_x
_atom_site_fract_y
_atom_site_fract_z
Lu1 0.0000 0.0000 0.0000
Pu1 0.0000 0.0000 0.5000
In1 0.5000 0.5000 0.2428
In2 0.5000 0.5000 0.7572
# Space group = P4/mmm, No. 123
# DFT total energy = -0.234 Ha/atom
# ΔH_f (0 K) = -284 meV per atom
# Volume = 25.39 Å³/atom

(11)
# Np6CuS12 (PBE, relaxed)
data_Np6CuS12
_chemical_formula_sum 'Np6 Cu1 S12'
_space_group_name_H-M_alt 'P 1'
_space_group_IT_number 1
_space_group_name_Hall 'P 1'
_cell_length_a 7.7147
_cell_length_b 7.7147
_cell_length_c 7.7147
_cell_angle_alpha 100.44
_cell_angle_beta 100.44
_cell_angle_gamma 100.44
loop_
_atom_site_label
_atom_site_fract_x
_atom_site_fract_y
_atom_site_fract_z
Np1 0.1195 0.7923 0.6308
Np2 0.2077 0.3692 0.8805
Np3 0.3692 0.8805 0.2077
Np4 0.6308 0.1195 0.7923
Np5 0.7923 0.6308 0.1195
Np6 0.8805 0.2077 0.3692
Cu1 0.5000 0.5000 0.5000
S1 0.0694 0.9225 0.3247
S2 0.0775 0.6753 0.9306
S3 0.1886 0.4396 0.5492
S4 0.3247 0.0694 0.9225
S5 0.4396 0.5492 0.1886
S6 0.4508 0.8114 0.5604
S7 0.5492 0.1886 0.4396
S8 0.5604 0.4508 0.8114
S9 0.6753 0.9306 0.0775
S10 0.8114 0.5604 0.4508
S11 0.9225 0.3247 0.0694
S12 0.9306 0.0775 0.6753
# Space group = R-3, No. 148
# Formation energy from raw total energies = -1.195 eV per atom
# DFT total energy = -0.298 Ha/atom
# Volume = 22.79 Å³/atom

(12)
# La2ReRu (PBE, relaxed)
data_La2ReRu
_chemical_formula_sum 'La2 Re1 Ru1'
_space_group_name_H-M_alt 'P 1'
_space_group_IT_number 1
_space_group_name_Hall 'P 1'
_cell_length_a 3.4585
_cell_length_b 4.6245
_cell_length_c 5.3407
_cell_angle_alpha 90.00
_cell_angle_beta 90.00
_cell_angle_gamma 90.00
loop_
_atom_site_label
_atom_site_fract_x
_atom_site_fract_y
_atom_site_fract_z
La1 0.0000 0.0000 0.0000
La2 0.5000 0.0000 0.5000
Re1 0.0000 0.5000 0.5000
Ru1 0.5000 0.5000 0.0000
# Space group = Pmmm, No. 47
# DFT total energy = -0.273 Ha/atom
# ΔH_f (0 K) = 473 meV per atom
# Volume = 21.35 Å³/atom

(13)
# Tl2AgP (PBE, relaxed)
data_Tl2AgP
_chemical_formula_sum 'Tl2 Ag1 P1'
_space_group_name_H-M_alt 'P 1'
_space_group_IT_number 1
_space_group_name_Hall 'P 1'
_cell_length_a 7.2797
_cell_length_b 7.2797
_cell_length_c 7.2797
_cell_angle_alpha 32.55
_cell_angle_beta 32.55
_cell_angle_gamma 32.55
loop_
_atom_site_label
_atom_site_fract_x
_atom_site_fract_y
_atom_site_fract_z
Tl1 0.2424 0.2424 0.2424
Tl2 0.7576 0.7576 0.7576
Ag1 0.0000 0.0000 0.0000
P1 0.5000 0.5000 0.5000
# Space group = R-3m, No. 166
# DFT total energy = -0.109 Ha/atom
# ΔH_f (0 K) = 269 meV per atom
# Volume = 24.83 Å³/atom

(14)
# Rb3NiC (PBE, relaxed)
data_Rb3NiC
_chemical_formula_sum 'Rb3 Ni1 C1'
_space_group_name_H-M_alt 'P 1'
_space_group_IT_number 1
_space_group_name_Hall 'P 1'
_cell_length_a 5.8418
_cell_length_b 5.8418
_cell_length_c 5.8418
_cell_angle_alpha 90.00
_cell_angle_beta 90.00
_cell_angle_gamma 90.00
loop_
_atom_site_label
_atom_site_fract_x
_atom_site_fract_y
_atom_site_fract_z
Rb1 0.0000 0.0000 0.5000
Rb2 0.0000 0.5000 0.0000
Rb3 0.5000 0.0000 0.0000
Ni1 0.5000 0.5000 0.5000
C1 0.0000 0.0000 0.0000
# Space group = Pm-3m, No. 221
# DFT total energy = -0.078 Ha/atom
# ΔH_f (0 K) = 1448 meV per atom
# Volume = 39.87 Å³/atom

(15)
# SrMgN2F (PBE, relaxed)
data_SrMgN2F
_chemical_formula_sum 'Sr1 Mg1 N2 F1'
_space_group_name_H-M_alt 'P 1'
_space_group_IT_number 1
_space_group_name_Hall 'P 1'
_cell_length_a 4.2424
_cell_length_b 4.2424
_cell_length_c 3.9741
_cell_angle_alpha 90.00
_cell_angle_beta 90.00
_cell_angle_gamma 90.00
loop_
_atom_site_label
_atom_site_fract_x
_atom_site_fract_y
_atom_site_fract_z
Sr1 0.0000 0.0000 0.0000
Mg1 0.5000 0.5000 0.5000
N1 0.0000 0.5000 0.5000
N2 0.5000 0.0000 0.5000
F1 0.5000 0.5000 0.0000
# Space group = P4/mmm, No. 123
# Formation energy from raw total energies = -0.670 eV per atom
# DFT total energy = -0.185 Ha/atom
# Volume = 14.31 Å³/atom

(16)
# FeCuAs2 (PBE, relaxed)
data_FeCuAs2
_chemical_formula_sum 'Fe1 Cu1 As2'
_space_group_name_H-M_alt 'P 1'
_space_group_IT_number 1
_space_group_name_Hall 'P 1'
_cell_length_a 2.7189
_cell_length_b 3.6751
_cell_length_c 6.7056
_cell_angle_alpha 90.00
_cell_angle_beta 90.00
_cell_angle_gamma 90.00
loop_
_atom_site_label
_atom_site_fract_x
_atom_site_fract_y
_atom_site_fract_z
Fe1 0.0000 0.0000 0.0000
Cu1 0.5000 0.5000 0.7961
As1 0.0000 0.0000 0.6237
As2 0.5000 0.5000 0.1787
# Space group = Pmm2, No. 25
# DFT total energy = -0.197 Ha/atom
# ΔH_f (0 K) = 97 meV per atom
# Volume = 16.75 Å³/atom

(17)
# NdZr2Al9 (PBE, relaxed)
data_NdZr2Al9
_chemical_formula_sum 'Nd1 Zr2 Al9'
_space_group_name_H-M_alt 'P 1'
_space_group_IT_number 1
_space_group_name_Hall 'P 1'
_cell_length_a 9.2878
_cell_length_b 9.2878
_cell_length_c 9.2878
_cell_angle_alpha 33.95
_cell_angle_beta 33.95
_cell_angle_gamma 33.95
loop_
_atom_site_label
_atom_site_fract_x
_atom_site_fract_y
_atom_site_fract_z
Nd1 0.0000 0.0000 0.0000
Zr1 0.1440 0.1440 0.1440
Zr2 0.8560 0.8560 0.8560
Al1 0.0799 0.5904 0.5904
Al2 0.3344 0.3344 0.3344
Al3 0.4096 0.4096 0.9201
Al4 0.4096 0.9201 0.4096
Al5 0.5000 0.5000 0.5000
Al6 0.5904 0.0799 0.5904
Al7 0.5904 0.5904 0.0799
Al8 0.6656 0.6656 0.6656
Al9 0.9201 0.4096 0.4096
# Space group = R-3m, No. 166
# DFT total energy = -0.183 Ha/atom
# ΔH_f (0 K) = -346 meV per atom
# Volume = 18.56 Å³/atom

(18)
# Pr6Ni2RhI3 (PBE, relaxed)
data_Pr6Ni2RhI3
_chemical_formula_sum 'Pr6 Ni2 Rh1 I3'
_space_group_name_H-M_alt 'P 1'
_space_group_IT_number 1
_space_group_name_Hall 'P 1'
_cell_length_a 7.2518
_cell_length_b 7.2518
_cell_length_c 8.5142
_cell_angle_alpha 98.16
_cell_angle_beta 98.16
_cell_angle_gamma 120.01
loop_
_atom_site_label
_atom_site_fract_x
_atom_site_fract_y
_atom_site_fract_z
Pr1 0.1029 0.4386 0.8160
Pr2 0.2257 0.2257 0.1841
Pr3 0.4386 0.1029 0.8160
Pr4 0.5614 0.8971 0.1840
Pr5 0.7743 0.7743 0.8159
Pr6 0.8971 0.5614 0.1840
Ni1 0.1666 0.8334 0.0000
Ni2 0.8334 0.1666 0.0000
Rh1 0.5000 0.5000 0.0000
I1 0.0000 0.0000 0.5000
I2 0.3333 0.6667 0.5000
I3 0.6667 0.3333 0.5000
# Space group = C2/m, No. 12
# Formation energy from raw total energies = -0.752 eV per atom
# DFT total energy = -0.188 Ha/atom
# Volume = 30.98 Å³/atom

(19)
# YRe2As (PBE, relaxed)
data_YRe2As
_chemical_formula_sum 'Y1 Re2 As1'
_space_group_name_H-M_alt 'P 1'
_space_group_IT_number 1
_space_group_name_Hall 'P 1'
_cell_length_a 4.8079
_cell_length_b 4.8079
_cell_length_c 4.8079
_cell_angle_alpha 125.81
_cell_angle_beta 125.81
_cell_angle_gamma 80.20
loop_
_atom_site_label
_atom_site_fract_x
_atom_site_fract_y
_atom_site_fract_z
Y1 0.0000 0.0000 0.0000
Re1 0.5000 0.5000 0.0000
Re2 0.7500 0.2500 0.5000
As1 0.2500 0.7500 0.5000
# Space group = I-4m2, No. 119
# DFT total energy = -0.317 Ha/atom
# ΔH_f (0 K) = 377 meV per atom
# Volume = 17.64 Å³/atom

(20)
# Rb2TcSeCl6 (PBE, relaxed)
data_Rb2TcSeCl6
_chemical_formula_sum 'Rb2 Tc1 Se1 Cl6'
_space_group_name_H-M_alt 'P 1'
_space_group_IT_number 1
_space_group_name_Hall 'P 1'
_cell_length_a 7.3518
_cell_length_b 7.3518
_cell_length_c 7.3518
_cell_angle_alpha 112.49
_cell_angle_beta 112.49
_cell_angle_gamma 103.59
loop_
_atom_site_label
_atom_site_fract_x
_atom_site_fract_y
_atom_site_fract_z
Rb1 0.2500 0.7500 0.5000
Rb2 0.7500 0.2500 0.5000
Tc1 0.0000 0.0000 0.0000
Se1 0.5000 0.5000 0.0000
Cl1 0.2090 0.2090 0.4181
Cl2 0.2090 0.7910 0.0000
Cl3 0.2495 0.2495 0.0000
Cl4 0.7505 0.7505 0.0000
Cl5 0.7910 0.2090 0.0000
Cl6 0.7910 0.7910 0.5819
# Space group = I4/mmm, No. 139
# Formation energy from raw total energies = -0.904 eV per atom
# DFT total energy = -0.132 Ha/atom
# Volume = 30.35 Å³/atom

(21)
# CaLa3Ni (PBE, relaxed)
data_CaLa3Ni
_chemical_formula_sum 'Ca2 La6 Ni2'
_space_group_name_H-M_alt 'P 1'
_space_group_IT_number 1
_space_group_name_Hall 'P 1'
_cell_length_a 8.4607
_cell_length_b 8.4607
_cell_length_c 12.7678
_cell_angle_alpha 124.03
_cell_angle_beta 124.03
_cell_angle_gamma 26.77
loop_
_atom_site_label
_atom_site_fract_x
_atom_site_fract_y
_atom_site_fract_z
Ca1 0.1065 0.1065 0.4501
Ca2 0.8935 0.8935 0.5499
La1 0.0799 0.0799 0.9416
La2 0.3436 0.3436 0.7669
La3 0.3495 0.3495 0.2451
La4 0.6505 0.6505 0.7549
La5 0.6564 0.6564 0.2331
La6 0.9201 0.9201 0.0584
Ni1 0.2660 0.2660 0.9500
Ni2 0.7340 0.7340 0.0500
# Space group = C2/m, No. 12
# DFT total energy = -0.169 Ha/atom
# ΔH_f (0 K) = -99 meV per atom
# Volume = 33.67 Å³/atom

(22)
# K3Ba (PBE, relaxed)
data_K3Ba
_chemical_formula_sum 'K3 Ba1'
_space_group_name_H-M_alt 'P 1'
_space_group_IT_number 1
_space_group_name_Hall 'P 1'
_cell_length_a 8.8264
_cell_length_b 8.8264
_cell_length_c 8.8264
_cell_angle_alpha 148.03
_cell_angle_beta 129.02
_cell_angle_gamma 61.46
loop_
_atom_site_label
_atom_site_fract_x
_atom_site_fract_y
_atom_site_fract_z
K1 0.0000 0.0000 0.0000
K2 0.2392 0.7392 0.5000
K3 0.7608 0.2608 0.5000
Ba1 0.5000 0.5000 0.0000
# Space group = Immm, No. 71
# DFT total energy = -0.044 Ha/atom
# ΔH_f (0 K) = 96 meV per atom
# Volume = 70.06 Å³/atom